Density functional theory data (PBE) for a geometry-optimized AgIr2RuI structure.

Cell and atoms, written as POSCAR:
```
AgIr2RuI
1.0
4.8507 0.0000 0.0000
0.0000 4.8507 0.0000
0.0000 0.0000 5.0176
Ag Ir Ru I
1 2 1 1
Direct
0.0000 0.0000 0.0000
0.0000 0.5000 0.5000
0.5000 0.0000 0.5000
0.5000 0.5000 0.0000
0.0000 0.0000 0.5000
```

Values from the calculation:
The value obtained for the formation energy without anion corrections is 2173 meV per atom.